A plane-wave DFT calculation with PBE-GGA was carried out for a relaxed structure of KY2Au.

Properties
Calculated total energy ... -4.11 eV per atom
Energy of formation from the pure elements ... 0.87 eV per formula unit
Distance to the lowest polymorph of the same formula ... 1.630 eV per formula unit
Volume ... 28.693 Å³ per atom

Geometry as CIF:
```
data_KY2Au
_cell_length_a 6.378
_cell_length_b 6.378
_cell_length_c 6.378
_cell_angle_alpha 138.03
_cell_angle_beta 138.03
_cell_angle_gamma 60.85
_space_group_name_H-M_alt 'P 1'
_space_group_IT_number 1
loop_
_space_group_symop_operation_xyz
'x,y,z'
loop_
_atom_site_label
_atom_site_type_symbol
_atom_site_fract_x
_atom_site_fract_y
_atom_site_fract_z
K1 K 0.000 0.000 0.000
Y1 Y 0.250 0.750 0.500
Y2 Y 0.500 0.500 0.000
Au1 Au 0.750 0.250 0.500
```